Entry 1:
Below is a relaxed structure of AlPdAu4, with properties calculated at the PBE level.

Space group: Pm
N(E_F): 0.286 states/eV/atom
Calculated formation energy: -245 meV per atom
V: 17.0 Å³/atom

Cell and atoms, written as CIF:
```
data_AlPdAu4
_symmetry_space_group_name_H-M 'P 1'
_symmetry_Int_Tables_number 1
_cell_length_a 3.947
_cell_length_b 4.207
_cell_length_c 6.435
_cell_angle_alpha 90.00
_cell_angle_beta 107.60
_cell_angle_gamma 90.00
loop_
_symmetry_equiv_pos_as_xyz
'x,y,z'
loop_
_atom_site_label
_atom_site_type_symbol
_atom_site_fract_x
_atom_site_fract_y
_atom_site_fract_z
_atom_site_occupancy
Al1 Al 0.000 0.000 0.000 1
Pd1 Pd 0.149 0.500 0.301 1
Au1 Au 0.328 0.000 0.660 1
Au2 Au 0.487 0.500 0.976 1
Au3 Au 0.648 0.000 0.298 1
Au4 Au 0.818 0.500 0.639 1
```

=====

Entry 2:
Below is a relaxed structure of CaAl2Te, with properties calculated at the PBE level.

ΔE_f (raw): -0.0149 eV/atom
Space group: R-3m
N(E_F): 0.663 states/eV/atom
V: 27.4 Å³/atom

Cell and atoms, written as CIF:
```
data_CaAl2Te
_symmetry_space_group_name_H-M 'P 1'
_symmetry_Int_Tables_number 1
_cell_length_a 8.800
_cell_length_b 8.800
_cell_length_c 8.800
_cell_angle_alpha 25.31
_cell_angle_beta 25.31
_cell_angle_gamma 25.31
loop_
_symmetry_equiv_pos_as_xyz
'x,y,z'
loop_
_atom_site_label
_atom_site_type_symbol
_atom_site_fract_x
_atom_site_fract_y
_atom_site_fract_z
_atom_site_occupancy
Ca1 Ca 0.000 0.000 0.000 1
Al1 Al 0.240 0.240 0.240 1
Al2 Al 0.760 0.760 0.760 1
Te1 Te 0.500 0.500 0.500 1
```

=====

Entry 3:
Below is a relaxed structure of Na12Tl3Ge, with properties calculated at the PBE level.

Space group: P4/mmm
N(E_F): 0.432 states/eV/atom
Calculated formation energy: -44 meV per atom
V: 29.5 Å³/atom

Cell and atoms, written as CIF:
```
data_Na12Tl3Ge
_symmetry_space_group_name_H-M 'P 1'
_symmetry_Int_Tables_number 1
_cell_length_a 5.064
_cell_length_b 5.064
_cell_length_c 18.400
_cell_angle_alpha 90.00
_cell_angle_beta 90.00
_cell_angle_gamma 90.00
loop_
_symmetry_equiv_pos_as_xyz
'x,y,z'
loop_
_atom_site_label
_atom_site_type_symbol
_atom_site_fract_x
_atom_site_fract_y
_atom_site_fract_z
_atom_site_occupancy
Na1 Na 0.000 0.000 0.000 1
Na2 Na 0.000 0.000 0.240 1
Na3 Na 0.000 0.000 0.500 1
Na4 Na 0.000 0.000 0.760 1
Na5 Na 0.000 0.500 0.108 1
Na6 Na 0.000 0.500 0.371 1
Na7 Na 0.000 0.500 0.629 1
Na8 Na 0.000 0.500 0.892 1
Na9 Na 0.500 0.000 0.108 1
Na10 Na 0.500 0.000 0.371 1
Na11 Na 0.500 0.000 0.629 1
Na12 Na 0.500 0.000 0.892 1
Tl1 Tl 0.500 0.500 0.238 1
Tl2 Tl 0.500 0.500 0.500 1
Tl3 Tl 0.500 0.500 0.762 1
Ge1 Ge 0.500 0.500 0.000 1
```

=====

Entry 4:
Below is a relaxed structure of Rb3HoCu2Cl9, with properties calculated at the PBE level.

ΔE_f (raw): -1.5612 eV/atom
Space group: P-3m1
N(E_F): 0.167 states/eV/atom
V: 26.7 Å³/atom

Cell and atoms, written as CIF:
```
data_Rb3HoCu2Cl9
_symmetry_space_group_name_H-M 'P 1'
_symmetry_Int_Tables_number 1
_cell_length_a 7.205
_cell_length_b 7.205
_cell_length_c 8.912
_cell_angle_alpha 90.00
_cell_angle_beta 90.00
_cell_angle_gamma 120.00
loop_
_symmetry_equiv_pos_as_xyz
'x,y,z'
loop_
_atom_site_label
_atom_site_type_symbol
_atom_site_fract_x
_atom_site_fract_y
_atom_site_fract_z
_atom_site_occupancy
Rb1 Rb 0.000 0.000 0.000 1
Rb2 Rb 0.333 0.667 0.681 1
Rb3 Rb 0.667 0.333 0.319 1
Ho1 Ho 0.000 0.000 0.500 1
Cu1 Cu 0.333 0.667 0.137 1
Cu2 Cu 0.667 0.333 0.863 1
Cl1 Cl 0.000 0.500 0.000 1
Cl2 Cl 0.171 0.341 0.329 1
Cl3 Cl 0.171 0.829 0.329 1
Cl4 Cl 0.341 0.171 0.671 1
Cl5 Cl 0.500 0.000 0.000 1
Cl6 Cl 0.500 0.500 0.000 1
Cl7 Cl 0.659 0.829 0.329 1
Cl8 Cl 0.829 0.171 0.671 1
Cl9 Cl 0.829 0.659 0.671 1
```

=====

Entry 5:
Below is a relaxed structure of OsPtSe, with properties calculated at the PBE level.

ΔE_f (raw): 0.4154 eV/atom
Space group: I4mm
N(E_F): 1.220 states/eV/atom
V: 17.1 Å³/atom

Cell and atoms, written as CIF:
```
data_OsPtSe
_symmetry_space_group_name_H-M 'P 1'
_symmetry_Int_Tables_number 1
_cell_length_a 6.389
_cell_length_b 6.389
_cell_length_c 6.389
_cell_angle_alpha 153.68
_cell_angle_beta 153.68
_cell_angle_gamma 37.57
loop_
_symmetry_equiv_pos_as_xyz
'x,y,z'
loop_
_atom_site_label
_atom_site_type_symbol
_atom_site_fract_x
_atom_site_fract_y
_atom_site_fract_z
_atom_site_occupancy
Os1 Os 0.000 0.000 0.000 1
Pt1 Pt 0.655 0.655 0.000 1
Se1 Se 0.376 0.376 0.000 1
```

=====

Entry 6:
Below is a relaxed structure of NaZrAl, with properties calculated at the PBE level.

Space group: F-43m
N(E_F): 0.121 states/eV/atom
Calculated formation energy: 579 meV per atom
V: 25.7 Å³/atom

Cell and atoms, written as CIF:
```
data_NaZrAl
_symmetry_space_group_name_H-M 'P 1'
_symmetry_Int_Tables_number 1
_cell_length_a 4.776
_cell_length_b 4.776
_cell_length_c 4.776
_cell_angle_alpha 60.00
_cell_angle_beta 60.00
_cell_angle_gamma 60.00
loop_
_symmetry_equiv_pos_as_xyz
'x,y,z'
loop_
_atom_site_label
_atom_site_type_symbol
_atom_site_fract_x
_atom_site_fract_y
_atom_site_fract_z
_atom_site_occupancy
Na1 Na 0.000 0.000 0.000 1
Zr1 Zr 0.500 0.500 0.500 1
Al1 Al 0.250 0.250 0.250 1
```

=====

| no. | magnetic moment (μB per atom) |
| --- | --- |
| 1 | 0.0000 |
| 2 | 0.0000 |
| 3 | 0.0000 |
| 4 | 0.0705 |
| 5 | 0.0000 |
| 6 | 0.0000 |